Computed, not measured: a relaxed SrCoSeO crystal at the GGA+U level of DFT.

abc: 6.123 8.051 13.620
angles: 90.00 90.00 90.00
Last column: magnetic moment on the atom in μB.
Positions (direct):
1 O 0.163 0.875 0.196  0.13
2 O 0.837 0.375 0.304  0.13
3 O 0.337 0.375 0.196  0.13
4 O 0.837 0.125 0.804  0.13
5 O 0.163 0.625 0.696  0.13
6 O 0.663 0.875 0.304  0.13
7 O 0.337 0.125 0.696  0.13
8 O 0.663 0.625 0.804  0.13
9 Se 0.254 0.127 0.417  0.07
10 Se 0.746 0.627 0.083  0.07
11 Se 0.746 0.873 0.583  0.07
12 Se 0.754 0.373 0.583  0.07
13 Se 0.246 0.873 0.917  0.07
14 Se 0.754 0.127 0.083  0.07
15 Se 0.254 0.373 0.917  0.07
16 Se 0.246 0.627 0.417  0.07
17 Co 0.339 0.624 0.814  2.60
18 Co 0.839 0.876 0.186  2.60
19 Co 0.839 0.624 0.686  2.60
20 Co 0.161 0.124 0.814  2.60
21 Co 0.661 0.376 0.186  2.60
22 Co 0.661 0.124 0.686  2.60
23 Co 0.161 0.376 0.314  2.60
24 Co 0.339 0.876 0.314  2.60
25 Sr 0.255 0.376 0.601  0.01
26 Sr 0.755 0.376 0.899  0.01
27 Sr 0.245 0.624 0.101  0.01
28 Sr 0.755 0.124 0.399  0.01
29 Sr 0.745 0.876 0.899  0.01
30 Sr 0.245 0.876 0.601  0.01
31 Sr 0.745 0.624 0.399  0.01
32 Sr 0.255 0.124 0.101  0.01

Computed properties:
The symmetry is Pbca (61). Its energy is -5.342 eV per atom.